# 1
Here is crystalline BePt2Rh2 at its relaxed geometry from Alexandria via LeMat-Bulk. Energies are from PBE.

Cell lengths 5.8841, 5.8841, 4.2597 Å; angles 90.00, 90.00, 90.00 degrees
Space group P4/mbm (No. 127)
Inequivalent atoms, fractional coordinates:
Be  0.0000  0.0000  0.0000
Pt  0.1559  0.3441  0.0000
Rh  0.1581  0.6581  0.5000

Values from the calculation:
ΔH_f (0 K): 0.005 eV per atom
calculated total energy: -6.0974 eV per atom
spin magnetization: 1.275 μB/f.u.
Fermi-level density of states: 5.07 states/eV/f.u.

***

# 2
Here is crystalline AlFe4W at its relaxed geometry from Alexandria via LeMat-Bulk. Energies are from PBE.

Cell lengths 6.6723, 6.6723, 6.6723 Å; angles 90.00, 90.00, 90.00 degrees
Space group F-43m (No. 216)
Inequivalent atoms, fractional coordinates:
Al  0.0000  0.0000  0.0000
Fe  0.1247  0.1247  0.6247
W  0.2500  0.2500  0.2500

Values from the calculation:
ΔH_f (0 K): -0.078 eV per atom
calculated total energy: -8.5020 eV per atom
spin magnetization: 6.372 μB/f.u.
Fermi-level density of states: 5.00 states/eV/f.u.

***

# 3
Here is crystalline Mo2C at its relaxed geometry from Alexandria via LeMat-Bulk. Energies are from PBE.

Cell lengths 4.7577, 6.0672, 5.2450 Å; angles 90.00, 90.00, 90.00 degrees
Space group Pbcn (No. 60)
Inequivalent atoms, fractional coordinates:
Mo  0.2465  0.1224  0.0791
C  0.0000  0.3770  0.2500

Values from the calculation:
ΔH_f (0 K): -0.125 eV per atom
calculated total energy: -10.4202 eV per atom
spin magnetization: 0.000 μB/f.u.
Fermi-level density of states: 1.53 states/eV/f.u.

***

# 4
Here is crystalline Nd2Ni2Ge2H at its relaxed geometry from Alexandria via LeMat-Bulk. Energies are from PBE.

Cell lengths 10.7697, 4.1403, 7.1080 Å; angles 90.00, 130.99, 90.00 degrees
Space group C2/m (No. 12)
Inequivalent atoms, fractional coordinates:
Nd  0.0507  0.0000  0.3141
Ni  0.1949  0.5000  0.8018
Ge  0.1641  0.5000  0.1198
H  0.0000  0.5000  0.5000

Values from the calculation:
calculated total energy: -5.4633 eV per atom
spin magnetization: 0.000 μB/f.u.
Fermi-level density of states: 3.28 states/eV/f.u.

***

# 5
Here is crystalline HfZr3Se8 at its relaxed geometry from Alexandria via LeMat-Bulk. Energies are from PBE.

Cell lengths 13.1459, 7.5964, 8.2494 Å; angles 90.00, 122.61, 90.00 degrees
Space group C2/m (No. 12)
Inequivalent atoms, fractional coordinates:
Hf  0.0000  0.0000  0.0000
Zr  0.0000  0.5000  0.0000
Zr  0.2500  0.2500  0.0000
Se  0.0054  0.2476  0.7720
Se  0.2423  0.0000  0.2280
Se  0.2442  0.5000  0.2293

Values from the calculation:
calculated total energy: -6.6280 eV per atom
spin magnetization: 0.000 μB/f.u.
Fermi-level density of states: 0.28 states/eV/f.u.
formation energy without anion corrections: -129.1 kJ/mol of atoms

***

# 6
Here is crystalline Pr2In5Cu3 at its relaxed geometry from Alexandria via LeMat-Bulk. Energies are from PBE.

Cell lengths 4.5949, 26.3489, 7.3729 Å; angles 90.00, 90.00, 90.00 degrees
Space group Cmc2_1 (No. 36)
Inequivalent atoms, fractional coordinates:
Pr  0.0000  0.0193  0.0000
Pr  0.0000  0.3272  0.0360
In  0.0000  0.0990  0.3480
In  0.0000  0.2045  0.8368
In  0.0000  0.2104  0.2417
In  0.0000  0.3768  0.5179
In  0.0000  0.4484  0.1810
Cu  0.0000  0.1066  0.7265
Cu  0.0000  0.2731  0.5418
Cu  0.0000  0.4519  0.7905

Values from the calculation:
ΔH_f (0 K): -0.301 eV per atom
calculated total energy: -3.8548 eV per atom
spin magnetization: 0.000 μB/f.u.
Fermi-level density of states: 4.51 states/eV/f.u.

***

# 7
Here is crystalline ZrFeCo2Hg at its relaxed geometry from Alexandria via LeMat-Bulk. Energies are from PBE.

Cell lengths 4.7062, 4.7062, 5.2248 Å; angles 90.00, 90.00, 90.00 degrees
Space group P4/mmm (No. 123)
Inequivalent atoms, fractional coordinates:
Zr  0.0000  0.0000  0.0000
Fe  0.5000  0.5000  0.0000
Co  0.0000  0.5000  0.5000
Hg  0.0000  0.0000  0.5000

Values from the calculation:
ΔH_f (0 K): 1.727 eV per atom
calculated total energy: -4.5777 eV per atom
spin magnetization: 5.918 μB/f.u.
Fermi-level density of states: 12.59 states/eV/f.u.

***

# 8
Here is crystalline Tm3ThSc2 at its relaxed geometry from Alexandria via LeMat-Bulk. Energies are from PBE.

Cell lengths 8.9560, 8.9560, 8.9560 Å; angles 90.00, 90.00, 90.00 degrees
Space group P4_132 (No. 213)
Inequivalent atoms, fractional coordinates:
Tm  0.1138  0.3638  0.1250
Th  0.1250  0.6250  0.8750
Sc  0.0096  0.4904  0.5096

Values from the calculation:
ΔH_f (0 K): 0.337 eV per atom
calculated total energy: -5.2455 eV per atom
spin magnetization: 0.001 μB/f.u.
relative energy among the computed polymorphs: 196 meV/atom
Fermi-level density of states: 10.69 states/eV/f.u.

***

# 9
Here is crystalline ScP2SCl at its relaxed geometry from Alexandria via LeMat-Bulk. Energies are from PBE.

Cell lengths 5.0650, 5.0650, 4.7597 Å; angles 90.00, 90.00, 90.00 degrees
Space group P4/mmm (No. 123)
Inequivalent atoms, fractional coordinates:
Sc  0.0000  0.0000  0.0000
P  0.0000  0.5000  0.0000
S  0.0000  0.0000  0.5000
Cl  0.5000  0.5000  0.5000

Values from the calculation:
calculated total energy: -4.3224 eV per atom
spin magnetization: 0.000 μB/f.u.
relative energy among the computed polymorphs: 76 meV/atom
Fermi-level density of states: 3.46 states/eV/f.u.
formation energy without anion corrections: 29.2 kJ/mol of atoms

***

# 10
Here is crystalline SrZnAs at its relaxed geometry from Alexandria via LeMat-Bulk. Energies are from PBE.

Cell lengths 4.3307, 4.3307, 4.5528 Å; angles 90.00, 90.00, 120.00 degrees
Space group P3m1 (No. 156)
Inequivalent atoms, fractional coordinates:
Sr  0.0000  0.0000  0.0000
Zn  0.6667  0.3333  0.4930
As  0.3333  0.6667  0.5046

Values from the calculation:
ΔH_f (0 K): -0.688 eV per atom
calculated total energy: -3.2234 eV per atom
spin magnetization: 0.000 μB/f.u.
Fermi-level density of states: 1.25 states/eV/f.u.

***

# 11
Here is crystalline Cd3S2O at its relaxed geometry from Alexandria via LeMat-Bulk. Energies are from PBE.

Cell lengths 6.5052, 11.2896, 6.4045 Å; angles 90.00, 108.95, 90.00 degrees
Space group C2/c (No. 15)
Inequivalent atoms, fractional coordinates:
Cd  0.2147  0.0733  0.0078
Cd  0.2500  0.2500  0.5000
S  0.0000  0.2529  0.7500
S  0.0000  0.4125  0.2500
O  0.0000  0.0668  0.2500

Values from the calculation:
calculated total energy: -3.2774 eV per atom
spin magnetization: 0.000 μB/f.u.
Fermi-level density of states: 0.23 states/eV/f.u.
formation energy without anion corrections: -59.6 kJ/mol of atoms

***

# 12
Here is crystalline Re2BW at its relaxed geometry from Alexandria via LeMat-Bulk. Energies are from PBE.

Cell lengths 5.6132, 7.4725, 4.9298 Å; angles 90.00, 90.00, 90.00 degrees
Space group Pnma (No. 62)
Inequivalent atoms, fractional coordinates:
Re  0.1807  0.0600  0.1585
B  0.1157  0.7500  0.9164
W  0.0263  0.2500  0.6499

Values from the calculation:
ΔH_f (0 K): -0.224 eV per atom
calculated total energy: -11.3560 eV per atom
spin magnetization: 0.000 μB/f.u.
Fermi-level density of states: 1.81 states/eV/f.u.

***

> Which formula does entry 4 have?

Nd2Ni2Ge2H

***

Copy entry 10 word for word.
Here is crystalline SrZnAs at its relaxed geometry from Alexandria via LeMat-Bulk. Energies are from PBE.

Cell lengths 4.3307, 4.3307, 4.5528 Å; angles 90.00, 90.00, 120.00 degrees
Space group P3m1 (No. 156)
Inequivalent atoms, fractional coordinates:
Sr  0.0000  0.0000  0.0000
Zn  0.6667  0.3333  0.4930
As  0.3333  0.6667  0.5046

Values from the calculation:
ΔH_f (0 K): -0.688 eV per atom
calculated total energy: -3.2234 eV per atom
spin magnetization: 0.000 μB/f.u.
Fermi-level density of states: 1.25 states/eV/f.u.

***

> Which of these has the highest Fermi-level density of states?

ZrFeCo2Hg